Record 1
The following is a SCAN calculation of a crystal of TcGeAs3 relaxed with PBEsol, from the Alexandria database.

Formation energy: 14.93 kcal/mol of atoms

abc: 4.7476 4.7476 4.7476
angles: 90.00 90.00 90.00
Sites, in units of the cell vectors:
As 0.0000 0.5000 0.0000
As 0.0000 0.0000 0.5000
As 0.5000 0.0000 0.0000
Ge 0.5000 0.5000 0.5000
Tc 0.0000 0.0000 0.0000

Record 2
The following is a SCAN calculation of a crystal of NiS2O relaxed with PBEsol, from the Alexandria database.

Raw formation energy: -0.17 eV/atom

abc: 3.4251 3.4251 6.0104
angles: 73.45 73.45 60.00
Sites, in units of the cell vectors:
Ni 0.5000 0.5000 0.5000
S 0.8975 0.8975 0.3075
S 0.1025 0.1025 0.6925
O 0.0000 0.0000 0.0000

Record 3
The following is a SCAN calculation of a crystal of Zn2NiTe relaxed with PBEsol, from the Alexandria database.

Raw formation energy: 0.23 eV/atom

abc: 3.7991 3.7991 4.4362
angles: 90.00 90.00 90.00
Sites, in units of the cell vectors:
Ni 0.5000 0.5000 0.5000
Te 0.0000 0.0000 0.5000
Zn 0.0000 0.5000 0.0000
Zn 0.5000 0.0000 0.0000

Record 4
The following is a SCAN calculation of a crystal of Ca3TcGe relaxed with PBEsol, from the Alexandria database.

Formation energy: 14.67 kcal/mol of atoms

abc: 5.2029 5.2029 5.2029
angles: 90.00 90.00 90.00
Each line ends with the local moment (μB).
Sites, in units of the cell vectors:
Ge 0.5000 0.5000 0.5000  0.41
Ca 0.0000 0.5000 0.0000  0.05
Ca 0.0000 0.0000 0.5000  0.05
Ca 0.5000 0.0000 0.0000  0.05
Tc 0.0000 0.0000 0.0000  1.65

Record 5
The following is a SCAN calculation of a crystal of NiBiI2O relaxed with PBEsol, from the Alexandria database.

Raw formation energy: -0.05 eV/atom

abc: 3.5899 5.5756 5.5756
angles: 90.00 90.00 90.00
Each line ends with the local moment (μB).
Sites, in units of the cell vectors:
I 0.0000 0.0000 0.5000  0.07
I 0.0000 0.5000 0.0000  0.07
Ni 0.0000 0.0000 0.0000  1.22
Bi 0.5000 0.5000 0.5000  -0.03
O 0.5000 0.0000 0.0000  0.47

Record 6
The following is a SCAN calculation of a crystal of ScC2Br2 relaxed with PBEsol, from the Alexandria database.

Raw formation energy: 1.29 eV/atom

abc: 2.9892 2.9892 10.3197
angles: 98.33 98.33 90.00
Sites, in units of the cell vectors:
Sc 0.0000 0.0000 0.0000
C 0.2500 0.7500 0.5000
C 0.7500 0.2500 0.5000
Br 0.4162 0.4162 0.8324
Br 0.5838 0.5838 0.1676

Record 7
The following is a SCAN calculation of a crystal of ReAg2W relaxed with PBEsol, from the Alexandria database.

Formation energy: 14.53 kcal/mol of atoms

abc: 2.6280 4.8095 5.1783
angles: 95.35 90.00 105.86
Sites, in units of the cell vectors:
Ag 0.0006 0.0013 0.0148
Ag 0.7511 0.5023 0.2348
Re 0.4960 0.9921 0.5206
W 0.2522 0.5044 0.7298

Record 8
The following is a SCAN calculation of a crystal of Mg2CdAg relaxed with PBEsol, from the Alexandria database.

Formation energy: -2.38 kcal/mol of atoms

abc: 3.1501 5.0975 5.2316
angles: 101.62 90.00 108.00
Sites, in units of the cell vectors:
Mg 0.7563 0.5125 0.7574
Mg 0.2437 0.4875 0.2426
Ag 0.5000 0.0000 0.0000
Cd 0.0000 0.0000 0.5000

Record 9
The following is a SCAN calculation of a crystal of Ta2Ir relaxed with PBEsol, from the Alexandria database.

Formation energy: -11.24 kcal/mol of atoms

abc: 3.5942 4.2567 6.6784
angles: 90.00 105.61 90.00
Sites, in units of the cell vectors:
Ir 0.9215 0.7500 0.8430
Ir 0.0785 0.2500 0.1570
Ta 0.5785 0.7500 0.1570
Ta 0.4215 0.2500 0.8430
Ta 0.2521 0.7500 0.5043
Ta 0.7479 0.2500 0.4957

Record 10
The following is a SCAN calculation of a crystal of ScReB2 relaxed with PBEsol, from the Alexandria database.

Formation energy: 3.94 kcal/mol of atoms

abc: 3.9630 3.9630 3.9630
angles: 60.00 60.00 60.00
Sites, in units of the cell vectors:
Sc 0.0000 0.0000 0.0000
Re 0.5000 0.5000 0.5000
B 0.2500 0.2500 0.2500
B 0.7500 0.7500 0.7500

Record 11
The following is a SCAN calculation of a crystal of LaIrCl2 relaxed with PBEsol, from the Alexandria database.

Raw formation energy: -0.41 eV/atom

abc: 3.7274 3.7274 6.0254
angles: 90.00 90.00 90.00
Each line ends with the local moment (μB).
Sites, in units of the cell vectors:
Cl 0.0000 0.0000 0.7388  0.06
Cl 0.0000 0.0000 0.2612  0.06
Ir 0.5000 0.5000 0.0000  1.58
La 0.5000 0.5000 0.5000  0.01

Record 12
The following is a SCAN calculation of a crystal of K2Tl relaxed with PBEsol, from the Alexandria database.

Formation energy: -1.55 kcal/mol of atoms

abc: 4.5451 7.1891 9.0863
angles: 107.72 90.00 108.43
Sites, in units of the cell vectors:
Tl 0.0386 0.0771 0.6063
Tl 0.6768 0.3536 0.8285
K 0.0606 0.1211 0.0208
K 0.6664 0.3328 0.4243
K 0.3602 0.7205 0.7265
K 0.3641 0.7282 0.2270

Record 13
The following is a SCAN calculation of a crystal of SrY2RuC relaxed with PBEsol, from the Alexandria database.

Formation energy: 62.23 kcal/mol of atoms

abc: 4.5104 5.3878 5.3878
angles: 90.00 90.00 90.00
Sites, in units of the cell vectors:
Y 0.0000 0.0000 0.5000
Y 0.0000 0.5000 0.0000
Ru 0.5000 0.0000 0.0000
C 0.5000 0.5000 0.5000
Sr 0.0000 0.0000 0.0000

Record 14
The following is a SCAN calculation of a crystal of Ba2BeNi relaxed with PBEsol, from the Alexandria database.

Formation energy: 14.63 kcal/mol of atoms

abc: 4.3195 4.3195 8.3225
angles: 74.96 74.96 60.00
Sites, in units of the cell vectors:
Ni 0.5000 0.5000 0.5000
Ba 0.7599 0.7599 0.7204
Ba 0.2401 0.2401 0.2796
Be 0.0000 0.0000 0.0000

Record 15
The following is a SCAN calculation of a crystal of BSe3F relaxed with PBEsol, from the Alexandria database.

Raw formation energy: 0.60 eV/atom

abc: 4.3537 4.3537 4.3537
angles: 90.00 90.00 90.00
Sites, in units of the cell vectors:
B 0.0000 0.0000 0.0000
Se 0.0000 0.5000 0.0000
Se 0.0000 0.0000 0.5000
Se 0.5000 0.0000 0.0000
F 0.5000 0.5000 0.5000

Record 16
The following is a SCAN calculation of a crystal of Ca2AsI relaxed with PBEsol, from the Alexandria database.

Raw formation energy: -1.58 eV/atom

abc: 4.3308 4.3308 7.7593
angles: 73.80 73.80 60.00
Sites, in units of the cell vectors:
I 0.5000 0.5000 0.5000
As 0.0000 0.0000 0.0000
Ca 0.2680 0.2680 0.1961
Ca 0.7320 0.7320 0.8039

Record 17
The following is a SCAN calculation of a crystal of SrTa2Tc relaxed with PBEsol, from the Alexandria database.

Formation energy: 10.34 kcal/mol of atoms

abc: 3.2800 3.8232 7.1866
angles: 90.00 90.00 90.00
Sites, in units of the cell vectors:
Sr 0.5000 0.5000 0.7412
Ta 0.0000 0.0000 0.0841
Ta 0.5000 0.5000 0.2623
Tc 0.0000 0.0000 0.4124

Record 18
The following is a SCAN calculation of a crystal of Fe2AgBr relaxed with PBEsol, from the Alexandria database.

Raw formation energy: 0.71 eV/atom

abc: 3.8806 3.8806 4.9564
angles: 113.05 113.05 90.00
Each line ends with the local moment (μB).
Sites, in units of the cell vectors:
Ag 0.5000 0.5000 0.0000  -0.07
Br 0.0000 0.0000 0.0000  0.07
Fe 0.7500 0.2500 0.5000  3.00
Fe 0.2500 0.7500 0.5000  3.00

Record 19
The following is a SCAN calculation of a crystal of MgSc2 relaxed with PBEsol, from the Alexandria database.

Formation energy: -0.67 kcal/mol of atoms

abc: 3.2315 6.1448 7.5284
angles: 104.64 90.00 105.25
Each line ends with the local moment (μB).
Sites, in units of the cell vectors:
Sc 0.6436 0.2873 0.5339  0.34
Sc 0.3135 0.6271 0.8675  0.46
Sc 0.6865 0.3729 0.1325  0.46
Sc 0.3564 0.7127 0.4661  0.34
Mg 0.9714 0.9429 0.2021  0.01
Mg 0.0286 0.0571 0.7979  0.01

Record 20
The following is a SCAN calculation of a crystal of BaLi2Zn relaxed with PBEsol, from the Alexandria database.

Formation energy: -1.02 kcal/mol of atoms

abc: 4.6519 4.6519 6.3715
angles: 68.59 68.59 60.00
Sites, in units of the cell vectors:
Zn 0.5000 0.5000 0.5000
Ba 0.0000 0.0000 0.0000
Li 0.1945 0.1945 0.4164
Li 0.8055 0.8055 0.5836

Record 21
The following is a SCAN calculation of a crystal of MnAsSe2I relaxed with PBEsol, from the Alexandria database.

Raw formation energy: 0.26 eV/atom

abc: 4.6557 4.6557 4.9095
angles: 90.00 90.00 90.00
Each line ends with the local moment (μB).
Sites, in units of the cell vectors:
I 0.5000 0.5000 0.5000  -0.15
As 0.0000 0.0000 0.5000  -0.09
Mn 0.0000 0.0000 0.0000  3.22
Se 0.0000 0.5000 0.0000  0.01
Se 0.5000 0.0000 0.0000  0.01

Record 22
The following is a SCAN calculation of a crystal of HfCo2TcS relaxed with PBEsol, from the Alexandria database.

Raw formation energy: 1.28 eV/atom

abc: 4.4150 4.4150 4.6616
angles: 90.00 90.00 90.00
Each line ends with the local moment (μB).
Sites, in units of the cell vectors:
Co 0.0000 0.5000 0.0000  1.11
Co 0.5000 0.0000 0.0000  1.11
S 0.0000 0.0000 0.5000  0.09
Hf 0.0000 0.0000 0.0000  -0.34
Tc 0.5000 0.5000 0.5000  3.44

Record 23
The following is a SCAN calculation of a crystal of LiZnPW2 relaxed with PBEsol, from the Alexandria database.

Formation energy: 22.89 kcal/mol of atoms

abc: 4.4395 4.4395 4.4770
angles: 90.00 90.00 90.00
Sites, in units of the cell vectors:
P 0.0000 0.0000 0.0000
Zn 0.0000 0.0000 0.5000
W 0.0000 0.5000 0.0000
W 0.5000 0.0000 0.0000
Li 0.5000 0.5000 0.5000

Record 24
The following is a SCAN calculation of a crystal of SrLa2Hg relaxed with PBEsol, from the Alexandria database.

Formation energy: -7.53 kcal/mol of atoms

abc: 3.8009 3.8009 9.3044
angles: 90.00 90.00 90.00
Sites, in units of the cell vectors:
Sr 0.0000 0.0000 0.5471
Hg 0.5000 0.5000 0.7659
La 0.0000 0.0000 0.9680
La 0.5000 0.5000 0.2190

Record 25
The following is a SCAN calculation of a crystal of ZnP3N relaxed with PBEsol, from the Alexandria database.

Raw formation energy: 1.00 eV/atom

abc: 4.0506 4.0506 4.0506
angles: 90.00 90.00 90.00
Sites, in units of the cell vectors:
P 0.0000 0.5000 0.0000
P 0.0000 0.0000 0.5000
P 0.5000 0.0000 0.0000
Zn 0.5000 0.5000 0.5000
N 0.0000 0.0000 0.0000

Record 26
The following is a SCAN calculation of a crystal of ThMg2 relaxed with PBEsol, from the Alexandria database.

Formation energy: 0.24 kcal/mol of atoms

abc: 6.0252 6.0252 9.6605
angles: 90.00 90.00 120.00
Each line ends with the local moment (μB).
Sites, in units of the cell vectors:
Mg 0.0000 0.0000 0.0000  0.00
Mg 0.0000 0.0000 0.5000  0.00
Mg 0.8283 0.6566 0.2500  0.00
Mg 0.1717 0.8283 0.7500  0.00
Mg 0.6566 0.8283 0.7500  0.00
Mg 0.3434 0.1717 0.2500  0.00
Mg 0.8283 0.1717 0.2500  0.00
Mg 0.1717 0.3434 0.7500  0.00
Th 0.3333 0.6667 0.0650  -0.49
Th 0.6667 0.3333 0.5650  -0.49
Th 0.6667 0.3333 0.9350  -0.49
Th 0.3333 0.6667 0.4350  -0.49